# 1
Computed, not measured: a PBEsol-optimized structure of K2RbCO3F at the meta-GGA SCAN level of DFT.

Computed properties:
* raw formation energy: -2.15 eV/atom
* DOS(E_F): 0.00 states/eV per atom

Structure (POSCAR):
```
K2RbCO3F
1.0
5.7972 -3.7958 0.0000
5.7972 3.7958 0.0000
-3.5619 0.0000 6.1135
K Rb C O F
4 2 2 6 2
Direct
0.0000 0.0000 0.0000 K
0.1566 0.4250 0.5770 K
0.5750 0.8434 0.4230 K
0.6556 0.3444 0.5000 K
0.0717 0.4900 0.0667 Rb
0.5100 0.9283 0.9333 Rb
0.0737 0.9263 0.5000 C
0.5775 0.4225 0.0000 C
0.0732 0.0985 0.6741 O
0.2453 0.7547 0.5000 O
0.4057 0.5943 0.0000 O
0.5868 0.2597 0.8199 O
0.7403 0.4132 0.1801 O
0.9015 0.9268 0.3259 O
0.3253 0.1685 0.2636 F
0.8315 0.6747 0.7364 F
```

***

# 2
Computed, not measured: a PBEsol-optimized structure of MgRe2Se at the meta-GGA SCAN level of DFT.

Computed properties:
* distance to the lowest polymorph of the same formula: 0 meV per atom
* raw formation energy: 0.53 eV/atom
* DOS(E_F): 0.61 states/eV per atom

Structure (POSCAR):
```
MgRe2Se
1.0
3.1045 0.0000 0.0000
0.0000 4.3062 0.0000
0.0000 0.0000 4.7331
Mg Re Se
1 2 1
Direct
0.0000 0.0000 0.0000 Mg
0.0000 0.5000 0.5000 Re
0.5000 0.0000 0.5000 Re
0.5000 0.5000 0.0000 Se
```

***

Q: Which of these has the highest DOS(E_F)?
A: MgRe2Se